First-principles (GGA-PBE) data for a relaxed structure of LaSmCdOs, as listed in Alexandria.

The structure belongs to space group F-43m (No. 216); the cell edges are 7.3481, 7.3481 and 7.3481 Å and the angles 90.00°, 90.00° and 90.00°. The distinct sites, in fractional coordinates, are La at (0.0000, 0.0000, 0.0000), Sm at (0.0000, 0.0000, 0.5000), Cd at (0.2500, 0.2500, 0.2500) and Os at (0.2500, 0.2500, 0.7500).

The value obtained for the density of states at the Fermi level is 18.592 states/eV/cell. The calculation puts the total energy at -5.522 eV per atom. As for the crystal system: cubic. The formation energy is -0.0738 eV per atom.